A plane-wave DFT calculation with GGA-PBE was carried out for Er4Mg3Tc after structural relaxation.

```
Er4Mg3Tc
1.0
3.530 0.000 0.000
0.000 3.530 0.000
0.000 0.000 16.094
Er Mg Tc
4 3 1
direct
0.000 0.000 0.098 Er
0.000 0.000 0.369 Er
0.000 0.000 0.631 Er
0.000 0.000 0.902 Er
0.500 0.500 0.237 Mg
0.500 0.500 0.500 Mg
0.500 0.500 0.763 Mg
0.500 0.500 0.000 Tc
```

Computed properties:
Formation enthalpy at 0 K ... -0.08 eV per atom
SG ... P4/mmm
V ... 25.071 A^3/atom
Total moment ... 0.0 μB/cell



A plane-wave DFT calculation with GGA-PBE was carried out for Er4Mg5Tc2 after structural relaxation.

```
Er4Mg5Tc2
1.0
7.794 0.000 0.000
0.000 3.569 0.000
-0.695 0.000 9.823
Er Mg Tc
4 5 2
direct
0.168 0.000 0.354 Er
0.202 0.000 0.951 Er
0.798 0.000 0.049 Er
0.832 0.000 0.646 Er
0.185 0.500 0.663 Mg
0.440 0.500 0.176 Mg
0.500 0.500 0.500 Mg
0.560 0.500 0.824 Mg
0.815 0.500 0.337 Mg
0.074 0.500 0.147 Tc
0.926 0.500 0.853 Tc
```

Computed properties:
Formation enthalpy at 0 K ... -0.02 eV per atom
SG ... P2/m
V ... 24.839 A^3/atom
Total moment ... 0.0 μB/cell



A plane-wave DFT calculation with GGA-PBE was carried out for Er4MgTc after structural relaxation.

```
Er4MgTc
1.0
4.411 -6.365 0.000
4.411 6.365 0.000
-1.906 0.000 5.884
Er Mg Tc
8 2 2
direct
0.065 0.727 0.949 Er
0.189 0.357 0.619 Er
0.273 0.935 0.551 Er
0.357 0.189 0.119 Er
0.643 0.811 0.881 Er
0.727 0.065 0.449 Er
0.811 0.643 0.381 Er
0.935 0.273 0.051 Er
0.379 0.621 0.250 Mg
0.621 0.379 0.750 Mg
0.001 0.999 0.750 Tc
0.999 0.001 0.250 Tc
```

Computed properties:
Formation enthalpy at 0 K ... -0.10 eV per atom
SG ... C2/c
V ... 27.532 A^3/atom
Total moment ... 0.0 μB/cell



A plane-wave DFT calculation with GGA-PBE was carried out for Er3Mg2Tc2 after structural relaxation.

```
Er3Mg2Tc2
1.0
4.006 0.000 0.000
0.000 20.964 0.000
0.000 0.000 4.137
Er Mg Tc
6 4 4
direct
0.000 0.000 0.000 Er
0.000 0.175 0.000 Er
0.000 0.825 0.000 Er
0.500 0.325 0.000 Er
0.500 0.500 0.000 Er
0.500 0.675 0.000 Er
0.000 0.418 0.500 Mg
0.000 0.582 0.500 Mg
0.500 0.082 0.500 Mg
0.500 0.918 0.500 Mg
0.000 0.280 0.500 Tc
0.000 0.720 0.500 Tc
0.500 0.220 0.500 Tc
0.500 0.780 0.500 Tc
```

Computed properties:
Formation enthalpy at 0 K ... 0.02 eV per atom
SG ... Cmmm
V ... 24.813 A^3/atom
Total moment ... 0.0 μB/cell



A plane-wave DFT calculation with GGA-PBE was carried out for Er5Mg2Tc after structural relaxation.

```
Er5Mg2Tc
1.0
6.523 0.000 0.000
0.000 12.370 0.000
0.000 0.000 5.127
Er Mg Tc
10 4 2
direct
0.000 0.000 0.000 Er
0.118 0.284 0.000 Er
0.158 0.602 0.500 Er
0.342 0.102 0.500 Er
0.382 0.784 0.000 Er
0.500 0.500 0.000 Er
0.618 0.216 0.000 Er
0.658 0.898 0.500 Er
0.842 0.398 0.500 Er
0.882 0.716 0.000 Er
0.144 0.865 0.500 Mg
0.356 0.365 0.500 Mg
0.644 0.635 0.500 Mg
0.856 0.135 0.500 Mg
0.000 0.500 0.000 Tc
0.500 0.000 0.000 Tc
```

Computed properties:
Formation enthalpy at 0 K ... -0.04 eV per atom
SG ... Pbam
V ... 25.859 A^3/atom
Total moment ... 0.0 μB/cell



A plane-wave DFT calculation with GGA-PBE was carried out for ErMgTc4 after structural relaxation.

```
ErMgTc4
1.0
0.000 3.746 3.746
3.746 0.000 3.746
3.746 3.746 0.000
Er Mg Tc
1 1 4
direct
0.000 0.000 0.000 Er
0.750 0.750 0.750 Mg
0.375 0.375 0.375 Tc
0.375 0.375 0.874 Tc
0.375 0.874 0.375 Tc
0.874 0.375 0.375 Tc
```

Computed properties:
Formation enthalpy at 0 K ... -0.03 eV per atom
SG ... F-43m
V ... 17.524 A^3/atom
Total moment ... 0.0 μB/cell